A relaxed SmPaAl2 crystal, computed with PBE.

SG   P4/mmm
Magnetization   0.00 μB per cell
Energy of formation from the pure elements   -0.482 eV/f.u.
Density   7742 kg/m³
Density of states at the Fermi level   1.35 states/eV per atom
E   -5.55 eV per atom
Crystal system   tetragonal

a = 4.6670 Å, b = 4.6670 Å, c = 4.2871 Å
α = 90.00°, β = 90.00°, γ = 90.00°
Atoms (fractional coordinates):
1 Sm 0.0000 0.0000 0.0000
2 Pa 0.5000 0.5000 0.0000
3 Al 0.0000 0.5000 0.5000
4 Al 0.5000 0.0000 0.5000



A relaxed PrVSi crystal, computed with PBE.

SG   P-6m2
Magnetization   2.25 μB per cell
Density   5460 kg/m³
Density of states at the Fermi level   0.68 states/eV per atom
E   -6.62 eV per atom
Crystal system   hexagonal
E_form (uncorrected)   -0.18 eV/atom

a = 4.3495 Å, b = 4.3495 Å, c = 4.0829 Å
α = 90.00°, β = 90.00°, γ = 120.00°
Atoms (fractional coordinates):
1 Pr 0.0000 0.0000 0.0000
2 V 0.3333 0.6667 0.5000
3 Si 0.6667 0.3333 0.5000



A relaxed Tc4AsOs crystal, computed with PBE.

SG   F-43m
Magnetization   0.00 μB per cell
Energy of formation from the pure elements   4.205 eV/f.u.
Density   11586 kg/m³
Density of states at the Fermi level   1.11 states/eV per atom
E   -8.86 eV per atom
Crystal system   cubic

a = 5.1070 Å, b = 5.1070 Å, c = 5.1070 Å
α = 60.00°, β = 60.00°, γ = 60.00°
Atoms (fractional coordinates):
1 Tc 0.1250 0.1250 0.1250
2 Tc 0.1250 0.1250 0.6249
3 Tc 0.1250 0.6249 0.1250
4 Tc 0.6249 0.1250 0.1250
5 As 0.5000 0.5000 0.5000
6 Os 0.7500 0.7500 0.7500



A relaxed TbTl2Ag crystal, computed with PBE.

SG   Fm-3m
Magnetization   0.00 μB per cell
Energy of formation from the pure elements   -0.680 eV/f.u.
Density   11362 kg/m³
Density of states at the Fermi level   0.11 states/eV per atom
E   -3.22 eV per atom
Crystal system   cubic

a = 5.1879 Å, b = 5.1879 Å, c = 5.1879 Å
α = 60.00°, β = 60.00°, γ = 60.00°
Atoms (fractional coordinates):
1 Tb 0.0000 0.0000 0.0000
2 Tl 0.2500 0.2500 0.2500
3 Tl 0.7500 0.7500 0.7500
4 Ag 0.5000 0.5000 0.5000



A relaxed SrMg14Cd crystal, computed with PBE.

SG   Amm2
Magnetization   0.00 μB per cell
Energy of formation from the pure elements   0.211 eV/f.u.
Density   2289 kg/m³
Density of states at the Fermi level   0.47 states/eV per atom
E   -1.54 eV per atom
Crystal system   orthorhombic

a = 10.4710 Å, b = 6.6216 Å, c = 6.6216 Å
α = 58.61°, β = 90.00°, γ = 90.00°
Atoms (fractional coordinates):
1 Sr 0.0000 0.0000 0.0000
2 Mg 0.0000 0.0080 0.4937
3 Mg 0.0000 0.4937 0.0080
4 Mg 0.2362 0.6517 0.6517
5 Mg 0.2598 0.1553 0.6503
6 Mg 0.2598 0.6503 0.1553
7 Mg 0.2623 0.1603 0.1603
8 Mg 0.5000 0.4935 0.4935
9 Mg 0.5000 0.4952 0.9825
10 Mg 0.5000 0.9825 0.4952
11 Mg 0.5000 0.9914 0.9914
12 Mg 0.7377 0.1603 0.1603
13 Mg 0.7402 0.1553 0.6503
14 Mg 0.7402 0.6503 0.1553
15 Mg 0.7638 0.6517 0.6517
16 Cd 0.0000 0.4825 0.4825



A relaxed Sr2NpCuSe5 crystal, computed with PBE.

SG   Cmc2_1
Magnetization   4.28 μB per cell
Density   5997 kg/m³
Density of states at the Fermi level   0.75 states/eV per atom
E   -5.51 eV per atom
Crystal system   orthorhombic
E_form (uncorrected)   -1.31 eV/atom

a = 9.2937 Å, b = 9.2937 Å, c = 12.7649 Å
α = 90.00°, β = 90.00°, γ = 154.07°
Atoms (fractional coordinates):
1 Sr 0.1141 0.8859 0.5000
2 Sr 0.1136 0.8864 0.8642
3 Sr 0.8859 0.1141 0.0000
4 Sr 0.8864 0.1136 0.3642
5 Np 0.2008 0.7992 0.1902
6 Np 0.7992 0.2008 0.6902
7 Cu 0.4300 0.5700 0.5996
8 Cu 0.5700 0.4300 0.0996
9 Se 0.0520 0.9480 0.1971
10 Se 0.2972 0.7028 0.8383
11 Se 0.3002 0.6998 0.5400
12 Se 0.3531 0.6469 0.1832
13 Se 0.4991 0.5009 0.4385
14 Se 0.5009 0.4991 0.9385
15 Se 0.6469 0.3531 0.6832
16 Se 0.6998 0.3002 0.0400
17 Se 0.7028 0.2972 0.3383
18 Se 0.9480 0.0520 0.6971



A relaxed Ta2InNi crystal, computed with PBE.

SG   Immm
Magnetization   0.00 μB per cell
Energy of formation from the pure elements   0.185 eV/f.u.
Density   13058 kg/m³
Density of states at the Fermi level   0.77 states/eV per atom
E   -8.01 eV per atom
Crystal system   orthorhombic

a = 5.3138 Å, b = 5.3138 Å, c = 5.3138 Å
α = 141.72°, β = 132.16°, γ = 62.86°
Atoms (fractional coordinates):
1 Ta 0.2362 0.2362 0.0000
2 Ta 0.7638 0.7638 0.0000
3 In 0.5000 0.0000 0.5000
4 Ni 0.0000 0.5000 0.5000



A relaxed PrHo2Te crystal, computed with PBE.

SG   R-3m
Magnetization   0.64 μB per cell
Density   7238 kg/m³
Density of states at the Fermi level   1.57 states/eV per atom
E   -4.52 eV per atom
Crystal system   trigonal
E_form (uncorrected)   -0.25 eV/atom

a = 11.1203 Å, b = 11.1203 Å, c = 11.1203 Å
α = 19.75°, β = 19.75°, γ = 19.75°
Atoms (fractional coordinates):
1 Pr 0.0000 0.0000 0.0000
2 Ho 0.1039 0.1039 0.1039
3 Ho 0.8961 0.8961 0.8961
4 Te 0.5000 0.5000 0.5000



A relaxed Er2Fe5CoB2 crystal, computed with PBE.

SG   P4/mbm
Magnetization   18.14 μB per cell
Energy of formation from the pure elements   -1.359 eV/f.u.
Density   9365 kg/m³
Density of states at the Fermi level   1.00 states/eV per atom
E   -7.33 eV per atom
Crystal system   tetragonal

a = 8.8989 Å, b = 8.8989 Å, c = 3.1091 Å
α = 90.00°, β = 90.00°, γ = 90.00°
Atoms (fractional coordinates):
1 Er 0.1759 0.3241 0.0000
2 Er 0.3241 0.8241 0.0000
3 Er 0.6759 0.1759 0.0000
4 Er 0.8241 0.6759 0.0000
5 Fe 0.0000 0.5000 0.5000
6 Fe 0.0660 0.7836 0.5000
7 Fe 0.2164 0.0660 0.5000
8 Fe 0.2836 0.5660 0.5000
9 Fe 0.4340 0.2836 0.5000
10 Fe 0.5000 0.0000 0.5000
11 Fe 0.5660 0.7164 0.5000
12 Fe 0.7164 0.4340 0.5000
13 Fe 0.7836 0.9340 0.5000
14 Fe 0.9340 0.2164 0.5000
15 Co 0.0000 0.0000 0.0000
16 Co 0.5000 0.5000 0.0000
17 B 0.1199 0.6199 0.0000
18 B 0.3801 0.1199 0.0000
19 B 0.6199 0.8801 0.0000
20 B 0.8801 0.3801 0.0000



A relaxed BeBiW2C crystal, computed with PBE.

SG   P4/mmm
Magnetization   0.00 μB per cell
Energy of formation from the pure elements   12.274 eV/f.u.
Density   11460 kg/m³
Density of states at the Fermi level   1.10 states/eV per atom
E   -6.09 eV per atom
Crystal system   tetragonal

a = 4.2695 Å, b = 4.2695 Å, c = 4.7507 Å
α = 90.00°, β = 90.00°, γ = 90.00°
Atoms (fractional coordinates):
1 Be 0.0000 0.0000 0.0000
2 Bi 0.0000 0.0000 0.5000
3 W 0.0000 0.5000 0.0000
4 W 0.5000 0.0000 0.0000
5 C 0.5000 0.5000 0.5000



A relaxed Ti2ZnB crystal, computed with PBE.

SG   R-3m
Magnetization   0.00 μB per cell
Energy of formation from the pure elements   -1.057 eV/f.u.
Density   4857 kg/m³
Density of states at the Fermi level   0.54 states/eV per atom
E   -6.20 eV per atom
Crystal system   trigonal

a = 7.0160 Å, b = 7.0160 Å, c = 7.0160 Å
α = 26.08°, β = 26.08°, γ = 26.08°
Atoms (fractional coordinates):
1 Ti 0.2267 0.2267 0.2267
2 Ti 0.7733 0.7733 0.7733
3 Zn 0.0000 0.0000 0.0000
4 B 0.5000 0.5000 0.5000



A relaxed Pr5TmGa6 crystal, computed with PBE.

SG   Cmmm
Magnetization   0.00 μB per cell
Energy of formation from the pure elements   -6.527 eV/f.u.
Density   7097 kg/m³
Density of states at the Fermi level   0.47 states/eV per atom
E   -4.42 eV per atom
Crystal system   orthorhombic

a = 8.2673 Å, b = 8.2673 Å, c = 7.3811 Å
α = 90.00°, β = 90.00°, γ = 143.19°
Atoms (fractional coordinates):
1 Pr 0.0000 0.0000 0.0000
2 Pr 0.3293 0.6707 0.0000
3 Pr 0.3347 0.6653 0.5000
4 Pr 0.6653 0.3347 0.5000
5 Pr 0.6707 0.3293 0.0000
6 Tm 0.0000 0.0000 0.5000
7 Ga 0.1618 0.8382 0.2584
8 Ga 0.1618 0.8382 0.7416
9 Ga 0.5000 0.5000 0.2561
10 Ga 0.5000 0.5000 0.7439
11 Ga 0.8382 0.1618 0.2584
12 Ga 0.8382 0.1618 0.7416